No. 1
VASP calculation (GGA-PBE) on an optimized crystal structure of ErZrReAg.

Properties
SG ... F-43m (216)
VASP energy ... -7.180 eV per atom
Calculated volume ... 79.9 Å³ per cell
Spin magnetization ... 0.00 μB per cell
Energy relative to the elements ... -0.309 eV per formula unit

Cell and atoms, written as POSCAR:
```
ErZrReAg
1.0
4.8337 0.0000 0.0000
2.4169 4.1861 0.0000
2.4169 1.3954 3.9467
Ag Er Zr Re
1 1 1 1
direct
0.2500 0.2500 0.2500
0.0000 0.0000 0.0000
0.5000 0.5000 0.5000
0.7500 0.7500 0.7500
```

---

No. 2
VASP calculation (GGA-PBE) on an optimized crystal structure of Er4AgRh.

Properties
SG ... F-43m (216)
Energy relative to the lowest polymorph listed for this composition ... 0.00 eV per formula unit
VASP energy ... -5.234 eV per atom
Calculated volume ... 594.0 Å³ per cell
Spin magnetization ... 0.00 μB per cell
Energy relative to the elements ... -2.952 eV per formula unit

Cell and atoms, written as POSCAR:
```
Er4AgRh
1.0
-9.2223 0.5549 1.9168
-2.9934 -0.4049 8.9391
-3.4987 7.7139 4.1577
Er Ag Rh
16 4 4
direct
0.8146 0.1854 0.8146
0.1854 0.1854 0.8146
0.8097 0.3968 0.3968
0.1854 0.8146 0.8146
0.8146 0.1854 0.1854
0.9381 0.5619 0.5619
0.9381 0.9381 0.5619
0.3968 0.3968 0.8097
0.5619 0.9381 0.5619
0.5619 0.5619 0.9381
0.3968 0.8097 0.3968
0.8146 0.8146 0.1854
0.5619 0.9381 0.9381
0.3968 0.3968 0.3968
0.1854 0.8146 0.1854
0.9381 0.5619 0.9381
0.1676 0.1676 0.1676
0.4973 0.1676 0.1676
0.1676 0.1676 0.4973
0.1676 0.4973 0.1676
0.1809 0.6064 0.6064
0.6064 0.1809 0.6064
0.6064 0.6064 0.1809
0.6064 0.6064 0.6064
```

---

No. 3
VASP calculation (GGA-PBE) on an optimized crystal structure of Er7Ag2Rh2.

Properties
SG ... Imm2 (44)
Energy relative to the lowest polymorph listed for this composition ... 0.00 eV per formula unit
VASP energy ... -5.223 eV per atom
Calculated volume ... 278.3 Å³ per cell
Spin magnetization ... 0.00 μB per cell
Energy relative to the elements ... -5.109 eV per formula unit

Cell and atoms, written as POSCAR:
```
Er7Ag2Rh2
1.0
3.6498 0.0000 0.7828
0.9314 8.1025 4.5579
-0.0947 -0.0899 9.3421
Er Ag Rh
7 2 2
direct
0.8568 0.3995 0.8869
0.8161 0.0846 0.2831
0.5000 0.0223 0.9777
0.6232 0.4744 0.2791
0.1839 0.7169 0.9154
0.3768 0.7209 0.5256
0.1432 0.1131 0.6005
0.5000 0.3507 0.6493
0.0000 0.7636 0.2364
0.2565 0.3475 0.1395
0.7435 0.8605 0.6525
```

---

No. 4
VASP calculation (GGA-PBE) on an optimized crystal structure of Er5Ag4Rh.

Properties
SG ... P4/mmm (123)
VASP energy ... -4.610 eV per atom
Calculated volume ... 225.8 Å³ per cell
Spin magnetization ... 0.00 μB per cell
Energy relative to the elements ... -4.526 eV per formula unit

Cell and atoms, written as POSCAR:
```
Er5Ag4Rh
1.0
3.5409 0.0000 0.0000
0.0000 3.5409 0.0000
0.0000 0.0000 18.0060
Ag Rh Er
4 1 5
direct
0.0000 0.0000 0.3983
0.0000 0.0000 0.1941
0.0000 0.0000 0.6017
0.0000 0.0000 0.8059
0.0000 0.0000 0.0000
0.5000 0.5000 0.7051
0.5000 0.5000 0.0896
0.5000 0.5000 0.5000
0.5000 0.5000 0.2949
0.5000 0.5000 0.9104
```